(P)
This record from Alexandria describes RbRe2Cl after structural relaxation. The functional is GGA-PBE.

Cell lengths 3.913, 3.913, 15.874 Å; angles 82.92, 82.92, 90.00 degrees
Fractional positions:
Re1 0.550 0.625 0.250
Cl1 0.250 0.750 0.500
Re2 0.375 0.800 0.750
Re3 0.875 0.450 0.750
Re4 0.200 0.125 0.250
Cl2 0.500 0.500 0.000
Rb1 0.750 0.250 0.500
Rb2 0.000 0.000 0.000

For the density of states at the Fermi level, the calculation gives 7.080 states/eV/cell. The value obtained for the calculated density is 6.845 g/cm³.

=====

(Q)
This record from Alexandria describes RbRe2Cl after structural relaxation. The functional is GGA-PBE.

Cell lengths 4.703, 4.703, 4.703 Å; angles 60.00, 60.00, 60.00 degrees
Fractional positions:
Cl1 0.000 0.000 0.000
Re1 0.750 0.750 0.750
Rb1 0.500 0.500 0.500
Re2 0.250 0.250 0.250

For the density of states at the Fermi level, the calculation gives 5.373 states/eV/cell. The value obtained for the calculated density is 11.141 g/cm³.

=====

The structure with the greatest stability is (P).

=====

(P)
This record from Alexandria describes Rb2RhCl5 after structural relaxation. The functional is GGA-PBE.

Cell lengths 6.983, 9.044, 14.540 Å; angles 90.00, 90.00, 90.00 degrees
Fractional positions:
Rb1 0.750 0.034 0.201
Cl1 0.000 0.000 0.000
Rh1 0.750 0.328 0.558
Cl2 0.750 0.959 0.802
Cl3 0.486 0.329 0.112
Rb2 0.250 0.966 0.799
Cl4 0.986 0.671 0.888
Cl5 0.750 0.205 0.412
Cl6 0.250 0.541 0.302
Cl7 0.514 0.671 0.888
Rb3 0.250 0.675 0.083
Cl8 0.986 0.171 0.612
Cl9 0.250 0.795 0.588
Rb4 0.750 0.534 0.299
Rb5 0.750 0.325 0.917
Rb6 0.250 0.466 0.701
Cl10 0.750 0.705 0.088
Cl11 0.750 0.459 0.698
Cl12 0.514 0.171 0.612
Cl13 0.000 0.500 0.500
Cl14 0.486 0.829 0.388
Cl15 0.014 0.829 0.388
Cl16 0.014 0.329 0.112
Rb7 0.750 0.825 0.583
Rb8 0.250 0.175 0.417
Cl17 0.250 0.041 0.198
Rh2 0.250 0.172 0.058
Cl18 0.250 0.295 0.912
Cl19 0.500 0.000 0.000
Rh3 0.250 0.672 0.442
Rh4 0.750 0.828 0.942
Cl20 0.500 0.500 0.500

The value obtained for the calculated density is 3.263 g/cm³.

=====

(Q)
This record from Alexandria describes Rb2RhCl5 after structural relaxation. The functional is GGA-PBE.

Cell lengths 6.994, 6.994, 6.994 Å; angles 97.22, 115.92, 115.92 degrees
Fractional positions:
Cl1 0.553 0.770 0.770
Rb1 0.500 0.244 0.744
Rb2 0.500 0.744 0.244
Cl2 0.000 0.217 0.770
Rh1 0.000 0.009 0.009
Cl3 0.000 0.770 0.217
Cl4 0.447 0.217 0.217
Cl5 0.000 0.252 0.252

The value obtained for the calculated density is 2.941 g/cm³.

=====

The structure with the greatest stability is (P).

=====

(P)
This record from Alexandria describes RbRhCl2 after structural relaxation. The functional is GGA-PBE.

Cell lengths 5.137, 5.137, 5.137 Å; angles 60.00, 60.00, 60.00 degrees
Last column: magnetic moment on the atom in μB.
Fractional positions:
Cl1 0.750 0.750 0.750  0.10
Cl2 0.250 0.250 0.250  0.10
Rh1 0.500 0.500 0.500  1.66
Rb1 0.000 0.000 0.000  0.00

For the density of states at the Fermi level, the calculation gives 4.148 states/eV/cell. The value obtained for the calculated density is 4.491 g/cm³.

=====

(Q)
This record from Alexandria describes RbRhCl2 after structural relaxation. The functional is GGA-PBE.

Cell lengths 7.835, 7.835, 7.835 Å; angles 39.67, 39.67, 39.67 degrees
Last column: magnetic moment on the atom in μB.
Fractional positions:
Rh1 0.000 0.000 0.000  1.65
Cl1 0.894 0.894 0.894  0.08
Cl2 0.106 0.106 0.106  0.08
Rb1 0.500 0.500 0.500  0.00

For the density of states at the Fermi level, the calculation gives 1.384 states/eV/cell. The value obtained for the calculated density is 2.440 g/cm³.

=====

The structure with the greatest stability is (Q).

=====

(P)
This record from Alexandria describes RbRh3Cl after structural relaxation. The functional is GGA-PBE.

Cell lengths 4.630, 4.630, 4.630 Å; angles 90.00, 90.00, 90.00 degrees
Last column: magnetic moment on the atom in μB.
Fractional positions:
Rb1 0.500 0.500 0.500  -0.01
Rh1 0.000 0.000 0.500  0.37
Cl1 0.000 0.000 0.000  0.04
Rh2 0.500 0.000 0.000  0.33
Rh3 0.000 0.500 0.000  0.42

For the density of states at the Fermi level, the calculation gives 9.633 states/eV/cell. The value obtained for the calculated density is 7.186 g/cm³.

=====

(Q)
This record from Alexandria describes RbRh3Cl after structural relaxation. The functional is GGA-PBE.

Cell lengths 5.101, 5.101, 5.101 Å; angles 90.00, 90.00, 90.00 degrees
Last column: magnetic moment on the atom in μB.
Fractional positions:
Rh1 0.000 0.000 0.500  0.82
Cl1 0.500 0.500 0.500  0.12
Rh2 0.000 0.500 0.000  1.15
Rb1 0.000 0.000 0.000  0.01
Rh3 0.500 0.000 0.000  1.27

For the density of states at the Fermi level, the calculation gives 6.971 states/eV/cell. The value obtained for the calculated density is 5.376 g/cm³.

=====

The structure with the greatest stability is (P).